1.
This record from Alexandria via LeMat-Bulk describes a relaxed Li2ErRhO4 crystal. The functional is PBE.

Cell lengths 3.244, 5.184, 5.369 Å; angles 107.94, 90.00, 90.00 degrees
Element x y z (fractional)
O: 0.500 0.208 0.233
Li: 0.000 0.500 0.500
Er: 0.500 0.500 0.000
Li: 0.500 0.000 0.500
Rh: 0.000 0.000 0.000
O: 0.000 0.255 0.752
O: 0.000 0.745 0.248
O: 0.500 0.792 0.767

* magnetization: 0.00 μB/cell
* ΔE_f (raw): -2049 meV per atom

2.
This record from Alexandria via LeMat-Bulk describes a relaxed LiEr2RhO5 crystal. The functional is PBE.

Cell lengths 5.721, 6.447, 6.447 Å; angles 90.00, 90.00, 90.00 degrees
Element x y z (fractional)
O: 0.743 0.140 0.640
O: 0.743 0.860 0.360
O: 0.500 0.000 0.000
Er: 0.500 0.176 0.324
Li: 0.000 0.000 0.000
O: 0.743 0.640 0.860
Rh: 0.000 0.000 0.500
O: 0.257 0.360 0.140
O: 0.257 0.860 0.360
O: 0.500 0.500 0.500
Er: 0.500 0.324 0.824
Li: 0.000 0.500 0.500
Er: 0.500 0.676 0.176
O: 0.743 0.360 0.140
O: 0.257 0.640 0.860
O: 0.257 0.140 0.640
Er: 0.500 0.824 0.676
Rh: 0.000 0.500 0.000

* magnetization: 4.01 μB/cell
* ΔE_f (raw): -2271 meV per atom
* DOS(E_F): 0.48 states/eV per atom